Below is an optimized crystal structure of AcGaAu5, with properties calculated at the PBE level.

Crystal system: orthorhombic
Total magnetic moment: 0.0 μB per cell
Energy of formation from the pure elements: -0.474 eV per atom
Total DFT energy (no corrections): -3.834 eV per atom

Lattice parameters (Å, degrees): 9.2112 5.7584 11.2601 90.00 90.00 90.00
Last column: nearest neighbours and their distance in Å.
Space group Pnma (No. 62)
One atom of each set of equivalent atoms:
Ac  0.2468  0.2500  0.0605 [4 per cell]  11 Au 3.27-3.65, 1 Ga 3.37
Ga  0.1528  0.7500  0.8485 [4 per cell]  1 Au 2.55
Au  0.0684  0.0094  0.2951 [8 per cell]  7 Au 2.77-2.99, 2 Ga 2.95-2.98
Au  0.0755  0.7500  0.0663 [4 per cell]  1 Ga 2.55
Au  0.0924  0.2500  0.5182 [4 per cell]  6 Au 2.88-3.11, 1 Ga 3.03
Au  0.1746  0.2500  0.7749 [4 per cell]  6 Au 2.80-2.99, 2 Ga 3.00